[1]
The following is a meta-GGA SCAN calculation of a PBEsol-optimized structure of Tl2AuCl, from the Alexandria database.

Summary:
Distance to the lowest polymorph of the same formula in meV per atom: 0
DOS at the Fermi energy in states/eV/cell: 0.6
Uncorrected energy in eV/f.u.: -223.842

a = 4.096 Å, b = 4.315 Å, c = 5.924 Å
α = 90.00°, β = 90.00°, γ = 90.00°
Space group Pmmm (No. 47)
Unique sites:
Tl (0.000, 0.000, 0.000)
Tl (0.500, 0.500, 0.500)
Au (0.000, 0.000, 0.500)
Cl (0.500, 0.500, 0.000)

[2]
The following is a meta-GGA SCAN calculation of a PBEsol-optimized structure of TcRuCl2, from the Alexandria database.

Summary:
Distance to the lowest polymorph of the same formula in meV per atom: 723
DOS at the Fermi energy in states/eV/cell: 15.6
Uncorrected energy in eV/f.u.: -81.524

a = 6.021 Å, b = 6.021 Å, c = 6.021 Å
α = 90.00°, β = 90.00°, γ = 90.00°
Space group Fm-3m (No. 225)
Unique sites:
Tc (0.000, 0.000, 0.000)
Ru (0.000, 0.000, 0.500)
Cl (0.250, 0.250, 0.250)

[3]
The following is a meta-GGA SCAN calculation of a PBEsol-optimized structure of MnH4C2O6, from the Alexandria database.

Summary:
Uncorrected energy in eV/f.u.: -106.292

a = 12.557 Å, b = 5.698 Å, c = 9.688 Å
α = 90.00°, β = 129.33°, γ = 90.00°
Space group C2/c (No. 15)
Unique sites:
Mn (0.000, 0.091, 0.250)
H (0.154, 0.154, 0.141)
H (0.238, 0.397, 0.643)
C (0.052, 0.408, 0.853)
O (0.090, 0.394, 0.430)
O (0.091, 0.210, 0.930)
O (0.165, 0.084, 0.243)

[4]
The following is a meta-GGA SCAN calculation of a PBEsol-optimized structure of LiFeAu4, from the Alexandria database.

Summary:
Formation energy in meV/atom: 18
DOS at the Fermi energy in states/eV/cell: 16.7
Uncorrected energy in eV/f.u.: -297.037

a = 7.573 Å, b = 7.573 Å, c = 7.573 Å
α = 90.00°, β = 90.00°, γ = 90.00°
Space group F-43m (No. 216)
Unique sites:
Li (0.000, 0.000, 0.000)
Fe (0.250, 0.250, 0.750)
Au (0.125, 0.125, 0.375)

[5]
The following is a meta-GGA SCAN calculation of a PBEsol-optimized structure of Zr2WAu, from the Alexandria database.

Summary:
Distance to the lowest polymorph of the same formula in meV per atom: 0
Formation energy in meV/atom: -185
DOS at the Fermi energy in states/eV/cell: 5.9
Uncorrected energy in eV/f.u.: -200.984

a = 3.546 Å, b = 4.654 Å, c = 8.950 Å
α = 90.00°, β = 90.00°, γ = 90.00°
Space group Cmmm (No. 65)
Unique sites:
Zr (0.000, 0.000, 0.244)
W (0.000, 0.500, 0.000)
Au (0.000, 0.500, 0.500)

[6]
The following is a meta-GGA SCAN calculation of a PBEsol-optimized structure of CaIr2Os, from the Alexandria database.

Summary:
Formation energy in meV/atom: 240
DOS at the Fermi energy in states/eV/cell: 4.4
Uncorrected energy in eV/f.u.: -222.782

a = 2.717 Å, b = 3.986 Å, c = 6.138 Å
α = 90.00°, β = 90.00°, γ = 90.00°
Space group Pmm2 (No. 25)
Unique sites:
Ca (0.000, 0.000, 0.000)
Ir (0.000, 0.000, 0.513)
Ir (0.500, 0.500, 0.273)
Os (0.500, 0.500, 0.683)

[7]
The following is a meta-GGA SCAN calculation of a PBEsol-optimized structure of In2Ir2Pb, from the Alexandria database.

Summary:
Formation energy in meV/atom: 354
DOS at the Fermi energy in states/eV/cell: 6.2
Uncorrected energy in eV/f.u.: -282.981

a = 4.204 Å, b = 4.204 Å, c = 11.973 Å
α = 90.00°, β = 90.00°, γ = 90.00°
Space group I4/mmm (No. 139)
Unique sites:
In (0.000, 0.000, 0.118)
Ir (0.000, 0.500, 0.250)
Pb (0.000, 0.000, 0.500)

[8]
The following is a meta-GGA SCAN calculation of a PBEsol-optimized structure of K2AlHAu, from the Alexandria database.

Summary:
DOS at the Fermi energy in states/eV/cell: 3.0
Uncorrected energy in eV/f.u.: -96.418

a = 5.927 Å, b = 5.927 Å, c = 3.595 Å
α = 90.00°, β = 90.00°, γ = 90.00°
Space group P4/mmm (No. 123)
Unique sites:
K (0.000, 0.500, 0.000)
Al (0.000, 0.000, 0.500)
H (0.500, 0.500, 0.000)
Au (0.500, 0.500, 0.500)

[9]
The following is a meta-GGA SCAN calculation of a PBEsol-optimized structure of NiRu2, from the Alexandria database.

Summary:
Distance to the lowest polymorph of the same formula in meV per atom: 0
Formation energy in meV/atom: 85
DOS at the Fermi energy in states/eV/cell: 5.1
Uncorrected energy in eV/f.u.: -85.570

a = 2.646 Å, b = 3.628 Å, c = 7.752 Å
α = 90.00°, β = 90.00°, γ = 90.00°
Space group Immm (No. 71)
Unique sites:
Ni (0.000, 0.000, 0.000)
Ru (0.000, 0.000, 0.333)

[10]
The following is a meta-GGA SCAN calculation of a PBEsol-optimized structure of SnIO2, from the Alexandria database.

Summary:
Distance to the lowest polymorph of the same formula in meV per atom: 1003
DOS at the Fermi energy in states/eV/cell: 4.3
Uncorrected energy in eV/f.u.: -84.210

a = 3.2174 Å, b = 3.2174 Å, c = 22.7247 Å
α = 90.00°, β = 90.00°, γ = 120.00°
Space group R-3m (No. 166, hexagonal axes)
Unique sites:
Sn (0.0000, 0.0000, 0.0000)
I (0.0000, 0.0000, 0.5000)
O (0.0000, 0.0000, 0.0920)

[11]
The following is a meta-GGA SCAN calculation of a PBEsol-optimized structure of La2Ru, from the Alexandria database.

Summary:
Formation energy in meV/atom: -267
DOS at the Fermi energy in states/eV/cell: 1.0
Uncorrected energy in eV/f.u.: -121.837

a = 4.0945 Å, b = 4.0945 Å, c = 6.3080 Å
α = 90.00°, β = 90.00°, γ = 120.00°
Space group P-3m1 (No. 164)
Unique sites:
La (0.3333, 0.6667, 0.2654)
Ru (0.0000, 0.0000, 0.5000)

[12]
The following is a meta-GGA SCAN calculation of a PBEsol-optimized structure of CoHg2Se, from the Alexandria database.

Summary:
DOS at the Fermi energy in states/eV/cell: 1.7
Uncorrected energy in eV/f.u.: -171.981

a = 4.071 Å, b = 4.071 Å, c = 4.395 Å
α = 90.00°, β = 90.00°, γ = 90.00°
Space group P4/mmm (No. 123)
Unique sites:
Co (0.000, 0.000, 0.000)
Hg (0.000, 0.500, 0.500)
Se (0.500, 0.500, 0.000)

Number 3 is which compound? MnH4C2O6

Which value of uncorrected energy does entry 10 give? -84.210 eV/f.u.

The highest uncorrected energy belongs to which entry? TcRuCl2

uncorrected energy of number 4 (LiFeAu4)? -297.037 eV/f.u.